Record 1
This record from the Alexandria database describes crystalline HgB2Rh2 at its relaxed geometry. The functional is PBE.

a b c (Å): 2.954 2.954 7.611
angles (deg): 78.81 78.81 90.00
Fractional positions:
B 0.750 0.250 0.500
B 0.250 0.750 0.500
Rh 0.354 0.354 0.292
Rh 0.646 0.646 0.708
Hg 0.000 0.000 0.000

Values from the calculation:
* mass density: 11.1 g/cm3
* energy of formation: -147 meV per atom
* E_tot: -5.819 eV per atom
* N(E_F): 2.11 states/eV/cell
* space group: I4/mmm, No. 139

=====

Record 2
This record from the Alexandria database describes crystalline HgBRh2 at its relaxed geometry. The functional is PBE.

a b c (Å): 6.535 6.535 5.380
angles (deg): 52.60 52.60 90.00
Fractional positions:
B 0.500 0.500 0.000
B 0.250 0.750 0.500
Rh 0.533 0.125 0.250
Rh 0.217 0.625 0.250
Rh 0.375 0.467 0.750
Rh 0.875 0.783 0.750
Hg 0.000 0.000 0.000
Hg 0.750 0.250 0.500

Values from the calculation:
* mass density: 11.8 g/cm3
* energy of formation: 31 meV per atom
* E_tot: -5.390 eV per atom
* N(E_F): 4.80 states/eV/cell
* E above lowest polymorph: 222 meV/atom
* space group: I-42d, No. 122

=====

Record 3
This record from the Alexandria database describes crystalline HgB4Rh8 at its relaxed geometry. The functional is PBE.

a b c (Å): 3.047 7.579 7.579
angles (deg): 87.68 78.41 78.41
Fractional positions:
Hg 0.000 0.000 0.000
B 0.323 0.834 0.519
B 0.677 0.166 0.481
B 0.843 0.481 0.834
B 0.157 0.519 0.166
Rh 0.320 0.037 0.324
Rh 0.680 0.963 0.676
Rh 0.644 0.676 0.037
Rh 0.356 0.324 0.963
Rh 0.039 0.295 0.626
Rh 0.961 0.705 0.374
Rh 0.666 0.374 0.295
Rh 0.334 0.626 0.705

Values from the calculation:
* mass density: 10.6 g/cm3
* energy of formation: -199 meV per atom
* E_tot: -6.801 eV per atom
* N(E_F): 12.20 states/eV/cell
* space group: I4/m, No. 87